# 1
LiY2Pt2 | PBE-GGA | optimized geometry

Offset from the most stable computed form in kcal/mol of atoms: 6.188
Spin magnetization in μB per atom: 0.00
Energy of formation from the pure elements in eV per atom: -0.73

a b c (Å): 4.8966 4.8966 6.4185
angles (deg): 67.58 67.58 90.00
Fractional positions:
Y 0.7500 0.2500 0.5000
Y 0.2500 0.7500 0.5000
Pt 0.3807 0.3807 0.2386
Pt 0.6193 0.6193 0.7614
Li 0.0000 0.0000 0.0000

# 2
Ca2MoRh2 | PBE-GGA | optimized geometry

Spin magnetization in μB per atom: 0.00
Energy of formation from the pure elements in eV per atom: -0.06

a b c (Å): 6.5917 6.5917 4.7924
angles (deg): 90.00 90.00 90.00
Fractional positions:
Mo 0.0000 0.0000 0.0000
Mo 0.5000 0.5000 0.0000
Rh 0.3595 0.8595 0.0000
Rh 0.8595 0.6405 0.0000
Rh 0.6405 0.1405 0.0000
Rh 0.1405 0.3595 0.0000
Ca 0.1776 0.6776 0.5000
Ca 0.6776 0.8224 0.5000
Ca 0.8224 0.3224 0.5000
Ca 0.3224 0.1776 0.5000

# 3
Al3NiSn | PBE-GGA | optimized geometry

Offset from the most stable computed form in kcal/mol of atoms: 0.000
Spin magnetization in μB per atom: 0.00
Energy of formation from the pure elements in eV per atom: -0.01

a b c (Å): 4.5843 4.5843 4.5843
angles (deg): 90.00 90.00 90.00
Fractional positions:
Ni 0.0000 0.0000 0.0000
Sn 0.5000 0.5000 0.5000
Al 0.0000 0.5000 0.0000
Al 0.0000 0.0000 0.5000
Al 0.5000 0.0000 0.0000

# 4
HfAg2Cl | PBE-GGA | optimized geometry

Offset from the most stable computed form in kcal/mol of atoms: 7.760
Spin magnetization in μB per atom: 0.00
Energy relative to the elements, uncorrected in eV per atom: 0.444

a b c (Å): 4.8621 4.8621 4.8621
angles (deg): 60.00 60.00 60.00
Fractional positions:
Hf 0.5000 0.5000 0.5000
Ag 0.2500 0.2500 0.2500
Ag 0.7500 0.7500 0.7500
Cl 0.0000 0.0000 0.0000

# 5
Li2AsRu | PBE-GGA | optimized geometry

Spin magnetization in μB per atom: 0.16
Energy of formation from the pure elements in eV per atom: 0.02

a b c (Å): 3.6021 3.6021 9.6426
angles (deg): 79.24 79.24 90.00
Site moments in Bohr magnetons follow the coordinates.
Fractional positions:
Ru 0.0000 0.0000 0.0000  0.53
Ru 0.7500 0.2500 0.5000  0.54
As 0.5000 0.5000 0.0000  0.03
As 0.2500 0.7500 0.5000  0.03
Li 0.6233 0.1250 0.2500  0.01
Li 0.1267 0.6250 0.2500  0.01
Li 0.3750 0.3767 0.7500  0.01
Li 0.8750 0.8733 0.7500  0.01

# 6
CsCa3Te | PBE-GGA | optimized geometry

Offset from the most stable computed form in kcal/mol of atoms: 26.423
Spin magnetization in μB per atom: 0.75
Energy relative to the elements, uncorrected in eV per atom: 0.893

a b c (Å): 6.0963 6.0963 6.0963
angles (deg): 90.00 90.00 90.00
Site moments in Bohr magnetons follow the coordinates.
Fractional positions:
Cs 0.0000 0.0000 0.0000  0.32
Ca 0.0000 0.5000 0.0000  0.26
Ca 0.0000 0.0000 0.5000  0.43
Ca 0.5000 0.0000 0.0000  0.16
Te 0.5000 0.5000 0.5000  0.01

# 7
DyMnMo | PBE-GGA | optimized geometry

Spin magnetization in μB per atom: 0.38
Energy of formation from the pure elements in eV per atom: 0.29

a b c (Å): 4.9630 4.9630 5.5050
angles (deg): 105.57 105.57 113.86
Site moments in Bohr magnetons follow the coordinates.
Fractional positions:
Dy 0.6735 0.3265 0.0000  -0.05
Dy 0.3265 0.6735 0.0000  -0.05
Mo 0.8306 0.8306 0.6611  -0.31
Mo 0.1694 0.1694 0.3389  -0.31
Mn 0.7500 0.2500 0.5000  1.49
Mn 0.2500 0.7500 0.5000  1.49

# 8
PuTe2Br8 | PBE-GGA | optimized geometry

Spin magnetization in μB per atom: 0.36
Energy relative to the elements, uncorrected in eV per atom: -0.598

a b c (Å): 8.0924 8.3775 8.3775
angles (deg): 63.54 102.25 102.25
Site moments in Bohr magnetons follow the coordinates.
Fractional positions:
Pu 0.0000 0.0000 0.0000  4.86
Te 0.5115 0.1491 0.1491  -0.13
Te 0.4885 0.8509 0.8509  -0.13
Br 0.2275 0.1669 0.7488  -0.09
Br 0.2275 0.7488 0.1669  -0.09
Br 0.7725 0.8331 0.2512  -0.09
Br 0.2918 0.6851 0.6851  -0.03
Br 0.7725 0.2512 0.8331  -0.09
Br 0.2240 0.2025 0.2025  -0.03
Br 0.7760 0.7975 0.7975  -0.03
Br 0.7082 0.3149 0.3149  -0.03

# 9
CeRe6 | PBE-GGA | optimized geometry

Offset from the most stable computed form in kcal/mol of atoms: 0.000
Spin magnetization in μB per atom: 0.00
Energy of formation from the pure elements in eV per atom: 0.08

a b c (Å): 5.2723 8.5794 10.8825
angles (deg): 90.00 90.00 90.00
Fractional positions:
Ce 0.7500 0.2231 0.9464
Ce 0.2500 0.7769 0.0536
Ce 0.7500 0.7231 0.5536
Ce 0.2500 0.2769 0.4464
Re 0.7500 0.5832 0.0213
Re 0.2500 0.4168 0.9787
Re 0.7500 0.0832 0.4787
Re 0.2500 0.9168 0.5213
Re 0.0073 0.4312 0.1939
Re 0.5073 0.5688 0.8061
Re 0.4927 0.9312 0.3061
Re 0.9927 0.0688 0.6939
Re 0.9927 0.5688 0.8061
Re 0.4927 0.4312 0.1939
Re 0.5073 0.0688 0.6939
Re 0.0073 0.9312 0.3061
Re 0.2500 0.1495 0.1552
Re 0.7500 0.8505 0.8448
Re 0.2500 0.6495 0.3448
Re 0.7500 0.3505 0.6552
Re 0.2500 0.8175 0.7587
Re 0.7500 0.1825 0.2413
Re 0.2500 0.3175 0.7413
Re 0.7500 0.6825 0.2587
Re 0.2500 0.6006 0.5786
Re 0.7500 0.3994 0.4214
Re 0.2500 0.1006 0.9214
Re 0.7500 0.8994 0.0786

# 10
Sr5Rh2 | PBE-GGA | optimized geometry

Spin magnetization in μB per atom: 0.00
Energy of formation from the pure elements in eV per atom: -0.23

a b c (Å): 7.0324 8.0215 9.3167
angles (deg): 96.45 112.17 90.00
Fractional positions:
Sr 0.1953 0.4159 0.1793
Sr 0.0160 0.0841 0.8207
Sr 0.2051 0.6767 0.5693
Sr 0.6358 0.8233 0.4307
Sr 0.7949 0.3233 0.4307
Sr 0.3642 0.1767 0.5693
Sr 0.9840 0.9159 0.1793
Sr 0.8047 0.5841 0.8207
Sr 0.5670 0.2500 0.0000
Sr 0.4330 0.7500 0.0000
Rh 0.1722 0.4177 0.7775
Rh 0.3948 0.0823 0.2225
Rh 0.8278 0.5823 0.2225
Rh 0.6052 0.9177 0.7775

# 11
RbCeTm4S8 | PBE-GGA | optimized geometry

Spin magnetization in μB per atom: 0.07
Energy relative to the elements, uncorrected in eV per atom: -1.862

a b c (Å): 8.1504 8.1504 8.3438
angles (deg): 60.76 60.76 60.00
Site moments in Bohr magnetons follow the coordinates.
Fractional positions:
Rb 0.3701 0.3701 0.8898  0.00
Ce 0.0046 0.0046 0.9862  0.94
Tm 0.6256 0.6256 0.1233  0.01
Tm 0.0046 0.4874 0.5035  0.01
Tm 0.4874 0.0046 0.5035  0.01
Tm 0.0046 0.0046 0.5035  0.01
S 0.2383 0.8059 0.7174  -0.01
S 0.8059 0.2383 0.7174  -0.01
S 0.2383 0.2383 0.7174  -0.01
S 0.2295 0.2295 0.3115  0.00
S 0.7509 0.2325 0.2656  0.00
S 0.2325 0.7509 0.2656  0.00
S 0.7509 0.7509 0.2656  0.00
S 0.7568 0.7568 0.7296  0.00

# 12
BiTeP2S | PBE-GGA | optimized geometry

Offset from the most stable computed form in kcal/mol of atoms: 6.129
Spin magnetization in μB per atom: 0.00
Energy relative to the elements, uncorrected in eV per atom: 1.137

a b c (Å): 5.3229 5.3229 5.0101
angles (deg): 90.00 90.00 90.00
Fractional positions:
P 0.0000 0.5000 0.0000
P 0.5000 0.0000 0.0000
S 0.0000 0.0000 0.5000
Te 0.5000 0.5000 0.5000
Bi 0.0000 0.0000 0.0000

Short version: V = 129.6, 208.2, 96.3, 81.3, 120.7, 226.6, 108.0, 492.4, 492.2, 483.1, 396.4, 142.0 Å³ per cell, in the order given.